1.
LaPm6Mg | PBE-GGA | optimized geometry

Output
* raw total energy: -4.358 eV/atom
* formation enthalpy at 0 K: 20 meV per atom
* calculated volume: 33.3 Å³ per atom
* DOS(E_F): 12.475 states/eV/f.u.

Unit cell a=5.099 b=5.099 c=10.254 alpha=90.00 beta=90.00 gamma=90.00
Fractional coordinates of all 8 atoms:
Pm  0.500  0.000  0.256
Pm  0.000  0.500  0.256
La  0.000  0.000  0.000
Pm  0.500  0.000  0.744
Mg  0.000  0.000  0.500
Pm  0.500  0.500  0.500
Pm  0.000  0.500  0.744
Pm  0.500  0.500  0.000

2.
LaPmMg3 | PBE-GGA | optimized geometry

Output
* raw total energy: -2.897 eV/atom
* formation enthalpy at 0 K: -5 meV per atom
* calculated volume: 29.3 Å³ per atom
* DOS(E_F): 6.173 states/eV/f.u.

Unit cell a=9.350 b=9.350 c=9.350 alpha=39.10 beta=39.10 gamma=39.10
Fractional coordinates of all 10 atoms:
Mg  0.613  0.125  0.125
Mg  0.387  0.875  0.875
Mg  0.125  0.613  0.125
La  0.166  0.166  0.166
Mg  0.875  0.875  0.387
La  0.834  0.834  0.834
Pm  0.432  0.432  0.432
Pm  0.568  0.568  0.568
Mg  0.875  0.387  0.875
Mg  0.125  0.125  0.613

3.
LaPmMg2 | PBE-GGA | optimized geometry

Output
* raw total energy: -3.333 eV/atom
* formation enthalpy at 0 K: -116 meV per atom
* calculated volume: 30.0 Å³ per atom
* DOS(E_F): 3.850 states/eV/f.u.

Unit cell a=5.534 b=5.534 c=5.534 alpha=60.00 beta=60.00 gamma=60.00
Fractional coordinates of all 4 atoms:
La  0.500  0.500  0.500
Mg  0.750  0.750  0.750
Pm  0.000  0.000  0.000
Mg  0.250  0.250  0.250

4.
La7PmMg4 | PBE-GGA | optimized geometry

Output
* raw total energy: -3.707 eV/atom
* formation enthalpy at 0 K: 95 meV per atom
* calculated volume: 33.4 Å³ per atom
* DOS(E_F): 14.390 states/eV/f.u.

Unit cell a=5.962 b=9.424 c=8.434 alpha=67.68 beta=69.30 gamma=71.56
Site moments in Bohr magnetons follow the coordinates.
Fractional coordinates of all 12 atoms:
La  0.251  0.720  0.778  0.00
Mg  0.674  0.651  0.000  0.00
Mg  0.538  0.307  0.617  0.00
La  0.749  0.280  0.222  0.00
Pm  0.000  0.000  0.000  0.13
La  0.916  0.428  0.739  0.00
La  0.084  0.572  0.261  0.00
La  0.500  0.000  0.000  0.11
La  0.199  0.114  0.488  0.00
Mg  0.462  0.693  0.383  0.00
Mg  0.326  0.349  0.000  0.00
La  0.801  0.886  0.512  0.00

5.
La6PmMg2 | PBE-GGA | optimized geometry

Output
* raw total energy: -4.167 eV/atom
* formation enthalpy at 0 K: 1 meV per atom
* calculated volume: 34.2 Å³ per atom
* DOS(E_F): 12.637 states/eV/f.u.

Unit cell a=5.826 b=6.641 c=9.312 alpha=82.13 beta=71.82 gamma=63.91
Fractional coordinates of all 9 atoms:
La  0.660  0.180  0.500
Mg  0.660  0.501  0.180
La  0.019  0.806  0.154
La  0.981  0.194  0.846
Pm  0.000  0.500  0.500
La  0.326  0.194  0.154
La  0.674  0.806  0.846
Mg  0.340  0.499  0.820
La  0.340  0.820  0.500

6.
La3Pm2Mg2 | PBE-GGA | optimized geometry

Output
* raw total energy: -3.893 eV/atom
* formation enthalpy at 0 K: 31 meV per atom
* calculated volume: 33.2 Å³ per atom
* DOS(E_F): 8.119 states/eV/f.u.

Unit cell a=3.888 b=3.791 c=15.883 alpha=90.00 beta=97.03 gamma=90.00
Fractional coordinates of all 7 atoms:
La  0.418  0.500  0.836
La  0.000  0.000  0.000
Pm  0.706  0.500  0.411
Mg  0.854  0.000  0.708
La  0.582  0.500  0.164
Mg  0.146  0.000  0.292
Pm  0.294  0.500  0.589